# CoTe5

A relaxed CoTe5 crystal (PBE, the Alexandria database).

## Properties
E_form (uncorrected)	0.19	eV/atom
offset from the most stable computed form	148	meV/atom

Cell lengths 7.5180, 7.5180, 3.5580 Å; angles 90.00, 90.00, 120.00 degrees
Space group P-62m (No. 189)
Inequivalent atoms, fractional coordinates:
Co 0.0000 0.0000 0.0000 x1
Te 0.0000 0.7571 0.5000 x3
Te 0.3333 0.6667 0.0000 x2

# Co5Te4

A relaxed Co5Te4 crystal (PBE, the Alexandria database).

## Properties
E_form (uncorrected)	0.14	eV/atom

Cell lengths 10.497, 10.497, 3.545 Å; angles 90.00, 90.00, 90.00 degrees
Space group I4/mmm (No. 139)
Inequivalent atoms, fractional coordinates:
Co 0.000 0.000 0.000 x2
Co 0.119 0.119 0.500 x8
Te 0.000 0.257 0.000 x8

# CoTe3

A relaxed CoTe3 crystal (PBE, the Alexandria database).

## Properties
E_form (uncorrected)	0.04	eV/atom

Cell lengths 8.534, 14.818, 3.595 Å; angles 90.00, 90.00, 90.00 degrees
Space group Cmcm (No. 63)
Inequivalent atoms, fractional coordinates:
Co 0.000 0.166 0.250 x4
Te 0.000 0.289 0.750 x4
Te 0.185 0.105 0.750 x8

# Co2Te

A relaxed Co2Te crystal (PBE, the Alexandria database).

## Properties
E_form (uncorrected)	0.45	eV/atom
offset from the most stable computed form	487	meV/atom

Cell lengths 3.642, 3.642, 14.550 Å; angles 90.00, 90.00, 90.00 degrees
Space group I4_1/amd (No. 141, origin choice 2)
Inequivalent atoms, fractional coordinates:
Co 0.000 0.250 0.296 x8
Te 0.000 0.250 0.875 x4

M_tot per entry: 0.00 0.60 0.00 0.92 μB/atom